*one*
A relaxed structure of Th5Zr, computed with PBE-GGA.

Cell and atoms, written as POSCAR:
```
Th5Zr
1.0
-0.870 3.447 0.129
-1.428 -0.481 3.223
12.784 2.997 6.110
Th Zr
5 1
direct
0.000 0.000 0.844
0.500 0.500 0.672
0.000 0.000 0.156
0.500 0.500 0.328
0.000 0.000 0.500
0.500 0.500 0.000
```

## Properties
total magnetization: 0.000 μB/f.u.

=====

*two*
A relaxed structure of Th5Zr, computed with PBE-GGA.

Cell and atoms, written as POSCAR:
```
Th5Zr
1.0
-1.699 -2.453 1.886
3.456 -4.182 -2.325
4.041 3.181 7.778
Th Zr
5 1
direct
0.500 0.500 0.000
0.000 0.328 0.656
0.500 0.843 0.686
0.000 0.672 0.344
0.500 0.157 0.314
0.000 0.000 0.000
```

## Properties
total magnetization: 0.000 μB/f.u.

=====

*one* is preferred energetically. Next in line: 6.9 kJ/mol of atoms higher.